Here is crystalline Ac2LaP3Rh12 at its relaxed geometry from Alexandria. Energies are from PBE.

Results
The calculation puts the total moment at 0.00 μB/cell. As for the total energy: -6.85 eV per atom. For the formation enthalpy at 0 K, the calculation gives -316 meV/atom. The symmetry is R-3m.

Cell lengths 7.3900, 7.3900, 7.3900 Å; angles 69.60, 69.60, 69.60 degrees
With the nearest neighbours (Å) after each atom.
Fractional positions:
Ac: 0.1044 0.1044 0.1044  3 Rh 2.79
Ac: 0.8956 0.8956 0.8956  3 Rh 2.79
La: 0.5000 0.5000 0.5000  6 Rh 2.64
P: 0.0000 0.5000 0.5000  6 Rh 2.23-2.29
P: 0.5000 0.0000 0.5000  6 Rh 2.23-2.29
P: 0.5000 0.5000 0.0000  6 Rh 2.23-2.29
Rh: 0.1138 0.6432 0.6432  1 P 2.23
Rh: 0.1714 0.1714 0.5892  2 P 2.29
Rh: 0.1714 0.5892 0.1714  2 P 2.29
Rh: 0.3568 0.3568 0.8862  1 P 2.23
Rh: 0.3568 0.8862 0.3568  1 P 2.23
Rh: 0.4108 0.8286 0.8286  2 P 2.29
Rh: 0.5892 0.1714 0.1714  2 P 2.29
Rh: 0.6432 0.1138 0.6432  1 P 2.23
Rh: 0.6432 0.6432 0.1138  1 P 2.23
Rh: 0.8286 0.4108 0.8286  2 P 2.29
Rh: 0.8286 0.8286 0.4108  2 P 2.29
Rh: 0.8862 0.3568 0.3568  1 P 2.23